(1)
DFT (PBE) results for crystalline LiPuF6 at its relaxed geometry.

The structure in CIF format:
```
data_LiPuF6
_cell_length_a 4.8897
_cell_length_b 4.8897
_cell_length_c 13.6321
_cell_angle_alpha 90.00
_cell_angle_beta 90.00
_cell_angle_gamma 120.00
_symmetry_space_group_name_H-M 'R -3'
_symmetry_Int_Tables_number 148
_symmetry_space_group_name_Hall '-R 3'
loop_
_atom_site_label
_atom_site_type_symbol
_atom_site_fract_x
_atom_site_fract_y
_atom_site_fract_z
Li1 Li 0.0000 0.0000 0.0000
Pu1 Pu 0.0000 0.0000 0.5000
F1 F 0.0023 0.6556 0.5857
```



(2)
DFT (PBE) results for crystalline Rb2LiTcF6 at its relaxed geometry.

The structure in CIF format:
```
data_Rb2LiTcF6
_cell_length_a 9.9362
_cell_length_b 5.7905
_cell_length_c 5.6779
_cell_angle_alpha 90.00
_cell_angle_beta 124.72
_cell_angle_gamma 90.00
_symmetry_space_group_name_H-M 'C 1 2/m 1'
_symmetry_Int_Tables_number 12
_symmetry_space_group_name_Hall '-C 2y'
loop_
_atom_site_label
_atom_site_type_symbol
_atom_site_fract_x
_atom_site_fract_y
_atom_site_fract_z
Rb1 Rb 0.2477 0.0000 0.2482
Li1 Li 0.0000 0.5000 0.0000
Tc1 Tc 0.0000 0.0000 0.5000
F1 F 0.0005 0.2523 0.7480
F2 F 0.2486 0.5000 0.2483
```

Summary:
* E above lowest polymorph: 0.0008 eV per atom



(3)
DFT (PBE) results for crystalline Rb2LiTcF6 at its relaxed geometry.

The structure in CIF format:
```
data_Rb2LiTcF6
_cell_length_a 5.7749
_cell_length_b 5.7749
_cell_length_c 8.1098
_cell_angle_alpha 90.00
_cell_angle_beta 90.00
_cell_angle_gamma 90.00
_symmetry_space_group_name_H-M 'I 4/m m m'
_symmetry_Int_Tables_number 139
_symmetry_space_group_name_Hall '-I 4 2'
loop_
_atom_site_label
_atom_site_type_symbol
_atom_site_fract_x
_atom_site_fract_y
_atom_site_fract_z
Rb1 Rb 0.0000 0.5000 0.2500
Li1 Li 0.0000 0.0000 0.0000
Tc1 Tc 0.0000 0.0000 0.5000
F1 F 0.0000 0.0000 0.2513
F2 F 0.2494 0.2494 0.0000
```

Summary:
* E above lowest polymorph: 0.0000 eV per atom



(4)
DFT (PBE) results for crystalline Rb2LiTcF6 at its relaxed geometry.

The structure in CIF format:
```
data_Rb2LiTcF6
_cell_length_a 9.9328
_cell_length_b 5.7538
_cell_length_c 5.7534
_cell_angle_alpha 90.00
_cell_angle_beta 125.30
_cell_angle_gamma 90.00
_symmetry_space_group_name_H-M 'C 1 2/m 1'
_symmetry_Int_Tables_number 12
_symmetry_space_group_name_Hall '-C 2y'
loop_
_atom_site_label
_atom_site_type_symbol
_atom_site_fract_x
_atom_site_fract_y
_atom_site_fract_z
Rb1 Rb 0.2498 0.0000 0.2496
Li1 Li 0.0000 0.0000 0.5000
Tc1 Tc 0.0000 0.5000 0.0000
F1 F 0.0007 0.2497 0.2514
F2 F 0.2499 0.0000 0.7501
```

Summary:
* E above lowest polymorph: 0.0050 eV per atom



(5)
DFT (PBE) results for crystalline Rb2LiTcF6 at its relaxed geometry.

The structure in CIF format:
```
data_Rb2LiTcF6
_cell_length_a 5.6571
_cell_length_b 5.6571
_cell_length_c 8.0841
_cell_angle_alpha 90.00
_cell_angle_beta 90.00
_cell_angle_gamma 90.00
_symmetry_space_group_name_H-M 'I 4/m'
_symmetry_Int_Tables_number 87
_symmetry_space_group_name_Hall '-I 4'
loop_
_atom_site_label
_atom_site_type_symbol
_atom_site_fract_x
_atom_site_fract_y
_atom_site_fract_z
Rb1 Rb 0.0000 0.5000 0.2500
Li1 Li 0.0000 0.0000 0.0000
Tc1 Tc 0.0000 0.0000 0.5000
F1 F 0.0000 0.0000 0.2470
F2 F 0.2463 0.2502 0.0000
```

Summary:
* E above lowest polymorph: 0.0302 eV per atom



(6)
DFT (PBE) results for crystalline Rb2LiTcF6 at its relaxed geometry.

The structure in CIF format:
```
data_Rb2LiTcF6
_cell_length_a 5.7050
_cell_length_b 5.7050
_cell_length_c 14.0770
_cell_angle_alpha 90.00
_cell_angle_beta 90.00
_cell_angle_gamma 120.00
_symmetry_space_group_name_H-M 'R -3'
_symmetry_Int_Tables_number 148
_symmetry_space_group_name_Hall '-R 3'
loop_
_atom_site_label
_atom_site_type_symbol
_atom_site_fract_x
_atom_site_fract_y
_atom_site_fract_z
Rb1 Rb 0.0000 0.0000 0.2502
Li1 Li 0.0000 0.0000 0.5000
Tc1 Tc 0.0000 0.0000 0.0000
F1 F 0.0009 0.5013 0.2493
```

Summary:
* E above lowest polymorph: 0.0138 eV per atom



(7)
DFT (PBE) results for crystalline Rb2LiTcF6 at its relaxed geometry.

The structure in CIF format:
```
data_Rb2LiTcF6
_cell_length_a 5.7150
_cell_length_b 5.7465
_cell_length_c 5.7481
_cell_angle_alpha 60.26
_cell_angle_beta 60.20
_cell_angle_gamma 60.18
_symmetry_space_group_name_H-M 'P -1'
_symmetry_Int_Tables_number 2
_symmetry_space_group_name_Hall '-P 1'
loop_
_atom_site_label
_atom_site_type_symbol
_atom_site_fract_x
_atom_site_fract_y
_atom_site_fract_z
Rb1 Rb 0.2472 0.2525 0.2526
Li1 Li 0.0000 0.0000 0.0000
Tc1 Tc 0.5000 0.5000 0.5000
F1 F 0.2496 0.7532 0.7509
F2 F 0.2515 0.2493 0.7532
F3 F 0.2530 0.7522 0.2479
```

Summary:
* E above lowest polymorph: 0.0034 eV per atom



(8)
DFT (PBE) results for crystalline Rb2LiTcF6 at its relaxed geometry.

The structure in CIF format:
```
data_Rb2LiTcF6
_cell_length_a 5.7621
_cell_length_b 5.7621
_cell_length_c 8.0979
_cell_angle_alpha 90.00
_cell_angle_beta 90.00
_cell_angle_gamma 90.00
_symmetry_space_group_name_H-M 'I 4/m m m'
_symmetry_Int_Tables_number 139
_symmetry_space_group_name_Hall '-I 4 2'
loop_
_atom_site_label
_atom_site_type_symbol
_atom_site_fract_x
_atom_site_fract_y
_atom_site_fract_z
Rb1 Rb 0.0000 0.5000 0.2500
Li1 Li 0.0000 0.0000 0.0000
Tc1 Tc 0.0000 0.0000 0.5000
F1 F 0.0000 0.0000 0.2509
F2 F 0.2491 0.2491 0.0000
```

Summary:
* E above lowest polymorph: 0.0034 eV per atom



no.,final energy (eV per atom)
1,-6.49
2,-4.99
3,-4.99
4,-4.99
5,-4.96
6,-4.98
7,-4.99
8,-4.99